{"formula": "Rb2LaW3O12", "functional": "PBE+U", "state": "relaxed", "cell": [[3.781, 2.183, 6.379], [-3.781, 2.183, 6.379], [0.000, -4.366, 6.379]], "species": ["Rb", "Rb", "La", "W", "W", "W", "O", "O", "O", "O", "O", "O", "O", "O", "O", "O", "O", "O"], "frac_coords": [[0.134, 0.134, 0.134], [0.866, 0.866, 0.866], [0.500, 0.500, 0.500], [0.000, 0.500, 0.500], [0.500, 0.000, 0.500], [0.500, 0.500, 0.000], [0.123, 0.588, 0.588], [0.206, 0.206, 0.571], [0.206, 0.571, 0.206], [0.412, 0.412, 0.877], [0.412, 0.877, 0.412], [0.429, 0.794, 0.794], [0.571, 0.206, 0.206], [0.588, 0.123, 0.588], [0.588, 0.588, 0.123], [0.794, 0.429, 0.794], [0.794, 0.794, 0.429], [0.877, 0.412, 0.412]], "spacegroup": "R-3m", "dft_energy_ev_per_atom": -7.043}